Entry 1:
The following is a DFT calculation (meta-GGA SCAN) of LiAlCu4 at its PBEsol-relaxed geometry.

abc: 4.7768 4.7768 4.7768
angles: 60.00 60.00 60.00
Last column: nearest neighbours and their distance in Å.
Atoms (fractional coordinates):
Cu 0.8752 0.3749 0.3749  6 Cu 2.39
Cu 0.3749 0.3749 0.8752  6 Cu 2.39
Cu 0.3749 0.8752 0.3749  6 Cu 2.39
Cu 0.3749 0.3749 0.3749  6 Cu 2.39
Al 0.0000 0.0000 0.0000  12 Cu 2.80, 4 Li 2.93
Li 0.7500 0.7500 0.7500  12 Cu 2.80, 4 Al 2.93

Energy of formation from the pure elements: -0.127 eV/atom
Total moment: 0.00 μB per cell
Symmetry: F-43m, No. 216
D(E_F): 0.4149 states/eV per atom

***

Entry 2:
The following is a DFT calculation (meta-GGA SCAN) of LiAlCu2 at its PBEsol-relaxed geometry.

abc: 4.0972 4.0972 4.0972
angles: 60.00 60.00 60.00
Last column: nearest neighbours and their distance in Å.
Atoms (fractional coordinates):
Cu 0.2500 0.2500 0.2500  4 Cu 2.51, 4 Al 2.51
Cu 0.0000 0.0000 0.0000  4 Li 2.51, 4 Cu 2.51
Al 0.5000 0.5000 0.5000  4 Li 2.51, 4 Cu 2.51
Li 0.7500 0.7500 0.7500  4 Al 2.51, 4 Cu 2.51

Energy of formation from the pure elements: -0.225 eV/atom
Total moment: 0.00 μB per cell
Symmetry: F-43m, No. 216
D(E_F): 0.2650 states/eV per atom

***

Entry 3:
The following is a DFT calculation (meta-GGA SCAN) of LiAlCu2 at its PBEsol-relaxed geometry.

abc: 3.6236 3.6236 4.5180
angles: 113.64 113.64 90.00
Last column: nearest neighbours and their distance in Å.
Atoms (fractional coordinates):
Cu 0.7500 0.2500 0.5000  4 Al 2.56, 4 Li 2.60, 4 Cu 2.60
Cu 0.0000 0.0000 0.0000  4 Li 2.56, 4 Cu 2.60, 4 Al 2.60
Al 0.2500 0.7500 0.5000  8 Cu 2.56-2.60, 4 Li 2.60
Li 0.5000 0.5000 0.0000  8 Cu 2.56-2.60, 4 Al 2.60

Energy of formation from the pure elements: -0.226 eV/atom
Total moment: 0.00 μB per cell
Symmetry: I-4m2, No. 119
D(E_F): 0.3075 states/eV per atom

***

Entry 4:
The following is a DFT calculation (meta-GGA SCAN) of LiAlCu2 at its PBEsol-relaxed geometry.

abc: 2.6034 3.5771 5.3368
angles: 90.00 90.08 90.00
Last column: nearest neighbours and their distance in Å.
Atoms (fractional coordinates):
Cu 0.9998 0.0000 0.2500  4 Li 2.58, 4 Al 2.58, 4 Cu 2.60-2.67
Cu 0.0002 0.0000 0.7500  4 Li 2.58, 4 Al 2.58, 4 Cu 2.60-2.67
Li 0.5000 0.5000 0.0000  8 Cu 2.58, 2 Li 2.60, 2 Al 2.67
Al 0.5000 0.5000 0.5000  8 Cu 2.58, 2 Al 2.60, 2 Li 2.67

Energy of formation from the pure elements: -0.190 eV/atom
Total moment: 0.00 μB per cell
Symmetry: Pmmm, No. 47
D(E_F): 0.3088 states/eV per atom

***

Entry 5:
The following is a DFT calculation (meta-GGA SCAN) of LiAl2Cu2 at its PBEsol-relaxed geometry.

abc: 2.6783 7.1911 7.1911
angles: 90.00 90.00 90.00
Last column: nearest neighbours and their distance in Å.
Atoms (fractional coordinates):
Cu 0.0000 0.1268 0.3732  6 Al 2.47-2.53, 3 Cu 2.58-2.68
Cu 0.0000 0.6268 0.1268  6 Al 2.47-2.53, 3 Cu 2.58-2.68
Cu 0.0000 0.8732 0.6268  6 Al 2.47-2.53, 3 Cu 2.58-2.68
Cu 0.0000 0.3732 0.8732  6 Al 2.47-2.53, 3 Cu 2.58-2.68
Al 0.5000 0.8308 0.3308  6 Cu 2.47-2.53, 2 Al 2.68
Al 0.5000 0.1692 0.6692  6 Cu 2.47-2.53, 2 Al 2.68
Al 0.5000 0.3308 0.1692  6 Cu 2.47-2.53, 2 Al 2.68
Al 0.5000 0.6692 0.8308  6 Cu 2.47-2.53, 2 Al 2.68
Li 0.0000 0.0000 0.0000  2 Li 2.68, 4 Cu 2.83, 8 Al 2.99
Li 0.0000 0.5000 0.5000  2 Li 2.68, 4 Cu 2.83, 8 Al 2.99

Energy of formation from the pure elements: -0.296 eV/atom
Total moment: 0.00 μB per cell
Symmetry: P4/mbm, No. 127
D(E_F): 0.1680 states/eV per atom

***

Entry 6:
The following is a DFT calculation (meta-GGA SCAN) of LiAl2Cu at its PBEsol-relaxed geometry.

abc: 5.1029 5.7537 5.7537
angles: 78.66 63.68 63.68
Last column: nearest neighbours and their distance in Å.
Atoms (fractional coordinates):
Al 0.6802 0.4448 0.9448  2 Cu 2.40, 2 Al 2.68
Al 0.8750 0.0552 0.4448  2 Cu 2.40, 2 Al 2.68
Al 0.0698 0.5552 0.0552  2 Cu 2.40, 2 Al 2.68
Al 0.3750 0.9448 0.5552  2 Cu 2.40, 2 Al 2.68
Cu 0.7500 0.5000 0.5000  4 Al 2.40, 2 Li 2.55
Cu 0.0000 0.0000 0.0000  4 Al 2.40, 2 Li 2.55
Li 0.5000 0.0000 0.0000  2 Cu 2.55
Li 0.2500 0.5000 0.5000  2 Cu 2.55

Energy of formation from the pure elements: 0.121 eV/atom
Total moment: 0.00 μB per cell
Symmetry: I-42d, No. 122
D(E_F): 0.3565 states/eV per atom

***

Entry 7:
The following is a DFT calculation (meta-GGA SCAN) of Li2AlCu at its PBEsol-relaxed geometry.

abc: 2.5977 4.0011 5.4842
angles: 90.00 104.37 90.00
Last column: nearest neighbours and their distance in Å.
Atoms (fractional coordinates):
Al 0.5245 0.0000 0.5284  4 Cu 2.55-2.68, 3 Li 2.56-2.75, 2 Al 2.60
Li 0.9894 0.0000 0.9976  4 Li 2.52-2.60, 1 Al 2.56, 2 Cu 2.60
Li 0.8061 0.5000 0.2438  4 Li 2.52-2.60, 1 Cu 2.60, 2 Al 2.75
Cu 0.1800 0.5000 0.7302  4 Al 2.55-2.68, 2 Cu 2.60, 3 Li 2.60

Energy of formation from the pure elements: -0.139 eV/atom
Total moment: 0.00 μB per cell
Symmetry: Pm, No. 6
D(E_F): 0.2744 states/eV per atom

***

Entry 8:
The following is a DFT calculation (meta-GGA SCAN) of Li2AlCu at its PBEsol-relaxed geometry.

abc: 3.5754 3.5754 4.3197
angles: 90.00 90.00 90.00
Last column: nearest neighbours and their distance in Å.
Atoms (fractional coordinates):
Li 0.0000 0.5000 0.0000  4 Li 2.53, 4 Al 2.80, 4 Cu 2.80
Li 0.5000 0.0000 0.0000  4 Li 2.53, 4 Al 2.80, 4 Cu 2.80
Al 0.5000 0.5000 0.5000  4 Cu 2.53, 8 Li 2.80
Cu 0.0000 0.0000 0.5000  4 Al 2.53, 8 Li 2.80

Energy of formation from the pure elements: -0.134 eV/atom
Total moment: 0.00 μB per cell
Symmetry: P4/mmm, No. 123
D(E_F): 0.2857 states/eV per atom

***

Entry 9:
The following is a DFT calculation (meta-GGA SCAN) of Li2AlCu at its PBEsol-relaxed geometry.

abc: 2.6642 4.5049 4.5855
angles: 90.00 97.52 90.00
Last column: nearest neighbours and their distance in Å.
Atoms (fractional coordinates):
Li 0.7848 0.0000 0.7432  5 Li 2.48-2.66, 2 Cu 2.61, 2 Al 2.70
Li 0.2152 0.0000 0.2568  5 Li 2.48-2.66, 2 Cu 2.61, 2 Al 2.70
Cu 0.0000 0.5000 0.5000  2 Al 2.50, 4 Li 2.61, 2 Cu 2.66
Al 0.5000 0.5000 0.0000  2 Cu 2.50, 2 Al 2.66, 4 Li 2.70

Energy of formation from the pure elements: -0.114 eV/atom
Total moment: 0.00 μB per cell
Symmetry: P2/m, No. 10
D(E_F): 0.2677 states/eV per atom

***

Entry 10:
The following is a DFT calculation (meta-GGA SCAN) of LiAl2Cu at its PBEsol-relaxed geometry.

abc: 3.4264 3.9921 3.9921
angles: 90.00 90.00 90.00
Last column: nearest neighbours and their distance in Å.
Atoms (fractional coordinates):
Al 0.0000 0.5000 0.0000  4 Cu 2.63, 4 Li 2.63, 4 Al 2.82
Al 0.0000 0.0000 0.5000  4 Cu 2.63, 4 Li 2.63, 4 Al 2.82
Cu 0.5000 0.5000 0.5000  8 Al 2.63, 4 Li 2.82
Li 0.5000 0.0000 0.0000  8 Al 2.63, 4 Cu 2.82

Energy of formation from the pure elements: -0.189 eV/atom
Total moment: 0.00 μB per cell
Symmetry: P4/mmm, No. 123
D(E_F): 0.2161 states/eV per atom

***

Entry 11:
The following is a DFT calculation (meta-GGA SCAN) of LiAl2Cu at its PBEsol-relaxed geometry.

abc: 3.7918 3.7904 4.6989
angles: 113.79 113.80 90.00
Last column: nearest neighbours and their distance in Å.
Atoms (fractional coordinates):
Cu 0.5000 0.5000 0.0000  8 Al 2.68-2.71, 4 Li 2.70-2.71
Al 0.2501 0.7501 0.5002  4 Li 2.68, 4 Cu 2.70-2.71, 4 Al 2.70
Al 0.0001 0.0001 0.0001  4 Cu 2.68, 4 Li 2.70-2.71, 4 Al 2.70
Li 0.7499 0.2499 0.4998  8 Al 2.68-2.71, 4 Cu 2.70-2.71

Energy of formation from the pure elements: -0.161 eV/atom
Total moment: 0.00 μB per cell
Symmetry: I-4m2, No. 119
D(E_F): 0.2279 states/eV per atom

***

Entry 12:
The following is a DFT calculation (meta-GGA SCAN) of LiAlCu2 at its PBEsol-relaxed geometry.

abc: 2.8015 4.2061 4.7429
angles: 109.59 107.18 90.00
Last column: nearest neighbours and their distance in Å.
Atoms (fractional coordinates):
Li 0.4903 0.4624 0.9807  7 Cu 2.52-2.64, 2 Al 2.76, 2 Li 2.80
Cu 0.0069 0.9723 0.0139  2 Cu 2.47, 3 Al 2.49-2.69, 4 Li 2.52-2.54
Cu 0.7386 0.2734 0.4772  2 Cu 2.47, 4 Al 2.53-2.54, 3 Li 2.55-2.64
Al 0.2642 0.7919 0.5283  7 Cu 2.49-2.69, 2 Li 2.76

Energy of formation from the pure elements: -0.219 eV/atom
Total moment: 0.00 μB per cell
Symmetry: Cm, No. 8
D(E_F): 0.2871 states/eV per atom

***

Q: Which formula does entry 10 have?
A: LiAl2Cu

***

Q: Among the records above, which one has the highest energy of formation from the pure elements?
A: number 6